1.
Material: Tb3Nd3ScTe8
Method: DFT, PBE-GGA
State: relaxed

abc: 8.7888 8.7888 21.7347
angles: 90.00 90.00 120.00
Last column: nearest neighbours and their distance in Å.
Space group R-3m (No. 166, hexagonal axes)
Symmetry-distinct sites (fractional):
Tb1 0.0000 0.5000 0.0000 (multiplicity 9)  6 Te 3.08
Nd1 0.0000 0.5000 0.5000 (multiplicity 9)  6 Te 3.16
Sc1 0.0000 0.0000 0.0000 (multiplicity 3)  6 Te 3.05
Te1 0.0000 0.0000 0.2533 (multiplicity 6)  3 Tb 3.08, 3 Nd 3.16
Te2 0.0030 0.5015 0.7460 (multiplicity 18)  1 Sc 3.05, 2 Tb 3.08, 2 Nd 3.16

Values from the calculation:
Raw formation energy in meV per atom: -1382

---

2.
Material: TbNd2ScTe5
Method: DFT, PBE-GGA
State: relaxed

abc: 5.5868 5.5868 11.1527
angles: 90.00 90.00 90.00
Last column: nearest neighbours and their distance in Å.
Space group P4/mmm (No. 123)
Symmetry-distinct sites (fractional):
Tb1 0.0000 0.0000 0.0000 (multiplicity 1)  6 Te 2.79-2.93
Nd1 0.5000 0.5000 0.1748 (multiplicity 2)  5 Te 3.41-3.63
Sc1 0.0000 0.0000 0.5000 (multiplicity 1)  2 Te 2.65
Te1 0.0000 0.0000 0.2624 (multiplicity 2)  1 Sc 2.65, 1 Tb 2.93
Te2 0.0000 0.5000 0.0000 (multiplicity 2)  2 Tb 2.79
Te3 0.5000 0.5000 0.5000 (multiplicity 1)  2 Nd 3.63, 4 Sc 3.95

Values from the calculation:
Raw formation energy in meV per atom: -738

---

3.
Material: Tb2NdScTe6
Method: DFT, PBE-GGA
State: relaxed

abc: 7.6797 7.6797 21.0134
angles: 90.00 90.00 120.00
Last column: nearest neighbours and their distance in Å.
Space group R3 (No. 146, hexagonal axes)
Symmetry-distinct sites (fractional):
Tb1 0.0000 0.0000 0.0000 (multiplicity 3)  6 Te 3.06-3.13
Tb2 0.0000 0.0000 0.4968 (multiplicity 3)  6 Te 3.10-3.11
Nd1 0.0000 0.0000 0.1864 (multiplicity 3)  6 Te 3.13-3.20
Sc1 0.0000 0.0000 0.6828 (multiplicity 3)  6 Te 2.96-2.97
Te1 0.0038 0.6988 0.5951 (multiplicity 9)  1 Sc 2.97, 2 Tb 3.06-3.11, 1 Nd 3.13
Te2 0.0174 0.3355 0.7570 (multiplicity 9)  1 Sc 2.96, 2 Tb 3.10-3.13, 1 Nd 3.20

Values from the calculation:
Raw formation energy in meV per atom: -1315